# 1
Here is ZnB2H8 after structural relaxation from Alexandria via LeMat-Bulk. Energies are from GGA-PBE.

Summary:
The value obtained for the energy above the most stable polymorph in this dataset is 9.5 meV/atom.

Unit cell a=6.4712 b=6.4712 c=6.7582 alpha=121.34 beta=121.34 gamma=65.68
With the nearest neighbours (Å) after each atom.
Positions (direct):
Zn1 0.9997 0.0003 0.2500  4 H 1.81
Zn2 0.0003 0.9997 0.7500  4 H 1.81
B1 0.1176 0.6974 0.9077  4 H 1.20-1.25
B2 0.3026 0.8824 0.5923  4 H 1.20-1.25
B3 0.6974 0.1176 0.4077  4 H 1.20-1.25
B4 0.8824 0.3026 0.0923  4 H 1.20-1.25
H1 0.0295 0.2921 0.0180  1 B 1.25
H2 0.0304 0.2923 0.3025  1 B 1.25
H3 0.1480 0.7501 0.4497  1 B 1.23
H4 0.2482 0.4965 0.8727  1 B 1.20
H5 0.2499 0.8520 0.0503  1 B 1.23
H6 0.2921 0.0295 0.5180  1 B 1.25
H7 0.2923 0.0304 0.8025  1 B 1.25
H8 0.4965 0.2482 0.3727  1 B 1.20
H9 0.5035 0.7518 0.6273  1 B 1.20
H10 0.7077 0.9696 0.1975  1 B 1.25
H11 0.7079 0.9705 0.4820  1 B 1.25
H12 0.7501 0.1480 0.9497  1 B 1.23
H13 0.7518 0.5035 0.1273  1 B 1.20
H14 0.8520 0.2499 0.5503  1 B 1.23
H15 0.9696 0.7077 0.6975  1 B 1.25
H16 0.9705 0.7079 0.9820  1 B 1.25



# 2
Here is ZrB2H after structural relaxation from Alexandria via LeMat-Bulk. Energies are from GGA-PBE.

Summary:
The value obtained for the energy above the most stable polymorph in this dataset is 0.0 meV/atom.

Unit cell a=6.7959 b=6.7959 c=6.7959 alpha=150.80 beta=150.80 gamma=41.76
With the nearest neighbours (Å) after each atom.
Positions (direct):
Zr1 0.3750 0.6250 0.7500  4 H 2.42, 8 B 2.49
Zr2 0.6250 0.3750 0.2500  4 H 2.42, 8 B 2.49
B1 0.0000 0.0000 0.0000  2 B 1.71, 2 H 1.80
B2 0.0000 0.0000 0.5000  2 B 1.71, 2 H 1.80
B3 0.0000 0.5000 0.0000  2 B 1.71, 2 H 1.80
B4 0.5000 0.0000 0.5000  2 B 1.71, 2 H 1.80
H1 0.1250 0.8750 0.2500  4 B 1.80
H2 0.8750 0.1250 0.7500  4 B 1.80



# 3
Here is Zr2BH after structural relaxation from Alexandria via LeMat-Bulk. Energies are from GGA-PBE.

Summary:
The calculation puts the electronic total energy at -6.699 eV per atom.

Unit cell a=6.5839 b=6.5839 c=6.5839 alpha=137.88 beta=137.88 gamma=61.08
With the nearest neighbours (Å) after each atom.
Positions (direct):
Zr1 0.1115 0.6250 0.9865  2 H 2.16, 2 B 2.23
Zr2 0.3750 0.3615 0.4865  2 H 2.16, 2 B 2.23
Zr3 0.6385 0.1250 0.0135  2 H 2.16, 2 B 2.23
Zr4 0.8750 0.8885 0.5135  2 H 2.16, 2 B 2.23
B1 0.2500 0.7500 0.5000  4 Zr 2.23
B2 0.5000 0.5000 0.0000  4 Zr 2.23
H1 0.0000 0.0000 0.0000  4 Zr 2.16
H2 0.7500 0.2500 0.5000  4 Zr 2.16



# 4
Here is Zr3BH after structural relaxation from Alexandria via LeMat-Bulk. Energies are from GGA-PBE.

Summary:
The value obtained for the energy above the most stable polymorph in this dataset is 0.0 meV/atom.

Unit cell a=4.2280 b=4.2280 c=4.2280 alpha=90.00 beta=90.00 gamma=90.00
With the nearest neighbours (Å) after each atom.
Positions (direct):
Zr1 0.0000 0.0000 0.5000  2 H 2.11
Zr2 0.0000 0.5000 0.0000  2 H 2.11
Zr3 0.5000 0.0000 0.0000  2 H 2.11
B1 0.5000 0.5000 0.5000  12 Zr 2.99
H1 0.0000 0.0000 0.0000  6 Zr 2.11